# 1
# Tb3Mg3Tl2Cd | the Alexandria database | GGA-PBE | optimized geometry
# formation energy from the elements	-0.327	eV per atom
# V	25.657	A^3/atom
# symmetry	P-62m (189)
# ρ	7.701	g/cm³
# crystal system	hexagonal
data_Tb3Mg3Tl2Cd
_symmetry_space_group_name_H-M 'P 1'
_symmetry_Int_Tables_number 1
_cell_length_a 4.599
_cell_length_b 7.614
_cell_length_c 7.614
_cell_angle_alpha 120.00
_cell_angle_beta 90.00
_cell_angle_gamma 90.00
loop_
_symmetry_equiv_pos_as_xyz
'x,y,z'
loop_
_atom_site_label
_atom_site_type_symbol
_atom_site_fract_x
_atom_site_fract_y
_atom_site_fract_z
_atom_site_occupancy
Tb1 Tb 0.000 0.000 0.426 1
Tb2 Tb 0.000 0.574 0.574 1
Tb3 Tb 0.000 0.426 0.000 1
Mg1 Mg 0.500 0.760 0.000 1
Mg2 Mg 0.500 0.240 0.240 1
Mg3 Mg 0.500 0.000 0.760 1
Tl1 Tl 0.500 0.333 0.667 1
Tl2 Tl 0.500 0.667 0.333 1
Cd1 Cd 0.000 0.000 0.000 1

=====

# 2
# TbTmMgCd | the Alexandria database | GGA-PBE | optimized geometry
# formation energy from the elements	-0.195	eV per atom
# V	26.295	A^3/atom
# symmetry	F-43m (216)
# ρ	7.335	g/cm³
# crystal system	cubic
data_TbTmMgCd
_symmetry_space_group_name_H-M 'P 1'
_symmetry_Int_Tables_number 1
_cell_length_a 5.298
_cell_length_b 5.298
_cell_length_c 5.298
_cell_angle_alpha 60.00
_cell_angle_beta 60.00
_cell_angle_gamma 60.00
loop_
_symmetry_equiv_pos_as_xyz
'x,y,z'
loop_
_atom_site_label
_atom_site_type_symbol
_atom_site_fract_x
_atom_site_fract_y
_atom_site_fract_z
_atom_site_occupancy
Mg1 Mg 0.250 0.250 0.250 1
Tm1 Tm 0.000 0.000 0.000 1
Tb1 Tb 0.500 0.500 0.500 1
Cd1 Cd 0.750 0.750 0.750 1

=====

# 3
# TbMgZnCd | the Alexandria database | GGA-PBE | optimized geometry
# formation energy from the elements	-0.305	eV per atom
# V	21.853	A^3/atom
# symmetry	F-43m (216)
# ρ	6.859	g/cm³
# crystal system	cubic
data_TbMgZnCd
_symmetry_space_group_name_H-M 'P 1'
_symmetry_Int_Tables_number 1
_cell_length_a 4.982
_cell_length_b 4.982
_cell_length_c 4.982
_cell_angle_alpha 60.00
_cell_angle_beta 60.00
_cell_angle_gamma 60.00
loop_
_symmetry_equiv_pos_as_xyz
'x,y,z'
loop_
_atom_site_label
_atom_site_type_symbol
_atom_site_fract_x
_atom_site_fract_y
_atom_site_fract_z
_atom_site_occupancy
Zn1 Zn 0.250 0.250 0.250 1
Tb1 Tb 0.000 0.000 0.000 1
Mg1 Mg 0.500 0.500 0.500 1
Cd1 Cd 0.750 0.750 0.750 1

=====

# 4
# TbMgZrCd | the Alexandria database | GGA-PBE | optimized geometry
# formation energy from the elements	-0.044	eV per atom
# V	24.153	A^3/atom
# symmetry	F-43m (216)
# ρ	6.649	g/cm³
# crystal system	cubic
data_TbMgZrCd
_symmetry_space_group_name_H-M 'P 1'
_symmetry_Int_Tables_number 1
_cell_length_a 5.150
_cell_length_b 5.150
_cell_length_c 5.150
_cell_angle_alpha 60.00
_cell_angle_beta 60.00
_cell_angle_gamma 60.00
loop_
_symmetry_equiv_pos_as_xyz
'x,y,z'
loop_
_atom_site_label
_atom_site_type_symbol
_atom_site_fract_x
_atom_site_fract_y
_atom_site_fract_z
_atom_site_occupancy
Mg1 Mg 0.750 0.750 0.750 1
Tb1 Tb 0.500 0.500 0.500 1
Zr1 Zr 0.000 0.000 0.000 1
Cd1 Cd 0.250 0.250 0.250 1